(1)
## BeFeSe2S (GGA-PBE)

Data for an optimized crystal structure of BeFeSe2S.

```
data_BeFeSe2S
_chemical_formula_sum 'Be1 Fe1 Se2 S1'
_cell_length_a 5.0721
_cell_length_b 5.0721
_cell_length_c 3.6897
_cell_angle_alpha 90.00
_cell_angle_beta 90.00
_cell_angle_gamma 90.00
_symmetry_space_group_name_H-M 'P 4/m m m'
_symmetry_Int_Tables_number 123
_symmetry_space_group_name_Hall '-P 4 2'
loop_
_atom_site_label
_atom_site_fract_x
_atom_site_fract_y
_atom_site_fract_z
_atom_site_occupancy
Be1 0.0000 0.0000 0.0000 1
Fe1 0.5000 0.5000 0.0000 1
Se1 0.0000 0.5000 0.5000 1
S1 0.0000 0.0000 0.5000 1
```

Calculated values
- formation energy from raw total energies (eV/atom) = 0.970
- size of the total moment (μB/cell) = 0.1
- electronic total energy (eV/atom) = -3.687



(2)
## RbTi2Os (GGA-PBE)

Data for an optimized crystal structure of RbTi2Os.

```
data_RbTi2Os
_chemical_formula_sum 'Rb4 Ti8 Os4'
_cell_length_a 6.6935
_cell_length_b 6.6935
_cell_length_c 6.6935
_cell_angle_alpha 90.00
_cell_angle_beta 90.00
_cell_angle_gamma 90.00
_symmetry_space_group_name_H-M 'F m -3 m'
_symmetry_Int_Tables_number 225
_symmetry_space_group_name_Hall '-F 4 2 3'
loop_
_atom_site_label
_atom_site_fract_x
_atom_site_fract_y
_atom_site_fract_z
_atom_site_occupancy
Rb1 0.0000 0.0000 0.0000 1
Ti1 0.2500 0.2500 0.2500 1
Os1 0.0000 0.0000 0.5000 1
```

Calculated values
- size of the total moment (μB/cell) = 1.5
- energy of formation (kcal/mol of atoms) = 24.04
- electronic total energy (eV/atom) = -5.954